1.
First-principles (GGA-PBE) data for a geometry-optimized LaSiTeN2 structure, as listed in Alexandria. Values from VASP.

Geometry as Quantum ESPRESSO input:
```
&SYSTEM
  ibrav = 0, nat = 5, ntyp = 4
/
ATOMIC_SPECIES
La 138.91 La.upf
Si 28.09 Si.upf
Te 127.60 Te.upf
N 14.01 N.upf
ATOMIC_POSITIONS crystal
La 0.0000 0.0000 0.0000
Si 0.5000 0.5000 0.5000
Te 0.0000 0.0000 0.5000
N 0.0000 0.5000 0.0000
N 0.5000 0.0000 0.0000
CELL_PARAMETERS angstrom
4.2643 0.0000 0.0000
0.0000 4.2643 0.0000
0.0000 0.0000 6.7964
```

Volume (A^3/atom): 24.717
Mass density (Mg/m³): 4.33
DOS at the Fermi energy (states/eV/cell): 4.1
Energy above the most stable polymorph in this dataset (kcal/mol of atoms): 14.20
Electronic total energy (eV/f.u.): -25.6
Energy relative to the elements, uncorrected (eV per atom): 0.913

2.
First-principles (GGA-PBE) data for a geometry-optimized Na6Tl12Ge structure, as listed in Alexandria. Values from VASP.

Geometry as Quantum ESPRESSO input:
```
&SYSTEM
  ibrav = 0, nat = 19, ntyp = 3
/
ATOMIC_SPECIES
Na 22.99 Na.upf
Tl 204.38 Tl.upf
Ge 72.64 Ge.upf
ATOMIC_POSITIONS crystal
Na 0.2271 0.3869 0.7595
Na 0.2405 0.7729 0.6131
Na 0.3869 0.7595 0.2271
Na 0.6131 0.2405 0.7729
Na 0.7595 0.2271 0.3869
Na 0.7729 0.6131 0.2405
Tl 0.0313 0.9500 0.2938
Tl 0.0500 0.7062 0.9687
Tl 0.1321 0.4580 0.3531
Tl 0.2938 0.0313 0.9500
Tl 0.3531 0.1321 0.4580
Tl 0.4580 0.3531 0.1321
Tl 0.5420 0.6469 0.8679
Tl 0.6469 0.8679 0.5420
Tl 0.7062 0.9687 0.0500
Tl 0.8679 0.5420 0.6469
Tl 0.9500 0.2938 0.0313
Tl 0.9687 0.0500 0.7062
Ge 0.5000 0.5000 0.5000
CELL_PARAMETERS angstrom
5.8513 3.3782 4.6577
-5.8513 3.3782 4.6577
0.0000 -6.7565 4.6577
```

Volume (A^3/atom): 29.075
Mass density (Mg/m³): 8.01
DOS at the Fermi energy (states/eV/cell): 8.6
ΔH_f (0 K) (eV per formula unit): -1.05
Electronic total energy (eV/f.u.): -42.0